{
  "formula": "Nd6PPt2Se3",
  "functional": "PBE-GGA",
  "state": "optimized geometry",
  "lattice_angstrom": [[4.156, 0.000, 0.000], [0.000, 8.619, 0.164], [-2.078, -2.632, 8.985]],
  "species": ["Se", "Nd", "Se", "Nd", "Se", "Nd", "Nd", "Pt", "Nd", "Nd", "Pt", "P"],
  "fractional_positions": [[0.164, 0.840, 0.327], [0.663, 0.098, 0.326], [0.836, 0.160, 0.673], [0.003, 0.239, 0.005], [0.500, 0.500, 0.000], [0.997, 0.761, 0.995], [0.331, 0.422, 0.662], [0.167, 0.338, 0.335], [0.337, 0.902, 0.674], [0.669, 0.578, 0.338], [0.833, 0.662, 0.665], [0.500, 0.000, 0.000]],
  "e_form_raw_ev_per_fu": -18.3
}


{
  "formula": "Nd2SiPPt6",
  "functional": "PBE-GGA",
  "state": "optimized geometry",
  "lattice_angstrom": [[-4.079, -4.719, -2.069], [3.181, -0.231, -5.745], [2.417, -5.704, -2.191]],
  "species": ["Pt", "Pt", "Pt", "Si", "Pt", "Nd", "Nd", "P", "Pt", "Pt"],
  "fractional_positions": [[0.753, 0.753, 0.000], [0.247, 0.247, 0.505], [0.247, 0.247, 0.000], [0.500, 0.500, 0.000], [0.753, 0.753, 0.495], [0.250, 0.750, 0.500], [0.750, 0.250, 0.500], [0.000, 0.000, 0.000], [0.753, 0.247, 0.000], [0.247, 0.753, 0.000]],
  "e_form_raw_ev_per_fu": -6.9
}


{
  "formula": "Nd3SiP2Pt9",
  "functional": "PBE-GGA",
  "state": "optimized geometry",
  "lattice_angstrom": [[6.455, 0.000, 0.000], [-3.228, 5.590, 0.000], [0.000, 0.000, 8.312]],
  "species": ["Nd", "Pt", "P", "Pt", "Pt", "Nd", "Si", "Pt", "Nd", "Pt", "P", "Pt", "Pt", "Pt", "Pt"],
  "fractional_positions": [[0.000, 0.000, 0.000], [0.000, 0.500, 0.000], [0.333, 0.667, 0.186], [0.294, 0.147, 0.709], [0.147, 0.294, 0.291], [0.667, 0.333, 0.346], [0.000, 0.000, 0.500], [0.500, 0.000, 0.000], [0.333, 0.667, 0.654], [0.147, 0.853, 0.291], [0.667, 0.333, 0.814], [0.706, 0.853, 0.291], [0.500, 0.500, 0.000], [0.853, 0.706, 0.709], [0.853, 0.147, 0.709]],
  "e_form_raw_ev_per_fu": -11.7
}


{
  "formula": "NdSn2P2Pt7",
  "functional": "PBE-GGA",
  "state": "optimized geometry",
  "lattice_angstrom": [[3.972, -0.002, -0.002], [0.003, 3.972, -0.002], [2.005, 2.002, 15.158]],
  "species": ["Pt", "Nd", "Pt", "P", "Pt", "Pt", "P", "Sn", "Pt", "Sn", "Pt", "Pt"],
  "fractional_positions": [[0.306, 0.306, 0.390], [0.000, 0.000, 0.000], [0.500, 0.500, 0.000], [0.381, 0.381, 0.238], [0.577, 0.076, 0.848], [0.423, 0.924, 0.152], [0.619, 0.619, 0.762], [0.787, 0.787, 0.426], [0.924, 0.423, 0.152], [0.213, 0.213, 0.574], [0.694, 0.694, 0.610], [0.076, 0.577, 0.848]],
  "e_form_ev_per_fu": -7.5
}